The following is a DFT calculation (GGA-PBE) of an optimized crystal structure of Nb3GeH3.

The structure in POSCAR format:
```
Nb3GeH3
1.0
2.8389 1.6390 6.0362
-2.8389 1.6390 6.0362
0.0000 -3.2781 6.0362
Nb Ge H
6 2 6
direct
0.0876 0.4041 0.7184
0.2816 0.9124 0.5959
0.4041 0.7184 0.0876
0.5959 0.2816 0.9124
0.7184 0.0876 0.4041
0.9124 0.5959 0.2816
0.1664 0.1664 0.1664
0.8336 0.8336 0.8336
0.0216 0.7200 0.3694
0.2800 0.6306 0.9784
0.3694 0.0216 0.7200
0.6306 0.9784 0.2800
0.7200 0.3694 0.0216
0.9784 0.2800 0.6306
```

Computed properties:
theoretical density = 6.98 g/cm³
magnetization = 0.000 Bohr magnetons per cell
calculated volume = 168.5 Å³ per cell
space-group type = R-3, No. 148
E above lowest polymorph = 0.094 eV per atom
energy = -0.4772 Ry/atom
density of states at the Fermi level = 0.41 states/eV/atom